# 1
Entry from Alexandria: an optimized crystal structure of ZrSiOs (GGA-PBEsol).

Cell: 6.3775 4.0312 7.4076 Å, 90.00 90.00 90.00°
Element x y z (fractional)
Zr  0.0128  0.2500  0.1836
Zr  0.4872  0.7500  0.6836
Zr  0.5128  0.2500  0.3164
Zr  0.9872  0.7500  0.8164
Si  0.2135  0.7500  0.3779
Si  0.2865  0.2500  0.8779
Si  0.7135  0.7500  0.1221
Si  0.7865  0.2500  0.6221
Os  0.1614  0.2500  0.5591
Os  0.3386  0.7500  0.0591
Os  0.6614  0.2500  0.9409
Os  0.8386  0.7500  0.4409

Properties
Calculated volume   15.870 Å³/atom
Total moment   0.0 Bohr magnetons per cell
Uncorrected energy   -9.90 eV/atom
Formation energy (no corrections)   -885 meV per atom
Crystal system   orthorhombic

---

# 2
Entry from Alexandria: an optimized crystal structure of ZrSi2Os (GGA-PBEsol).

Cell: 4.3745 4.3745 4.3745 Å, 60.00 60.00 60.00°
Element x y z (fractional)
Zr  0.0000  0.0000  0.0000
Si  0.2500  0.2500  0.2500
Si  0.7500  0.7500  0.7500
Os  0.5000  0.5000  0.5000

Properties
Calculated volume   14.798 Å³/atom
Total moment   0.0 Bohr magnetons per cell
Uncorrected energy   -8.48 eV/atom
Formation energy (no corrections)   -285 meV per atom
Crystal system   cubic

---

# 3
Entry from Alexandria: an optimized crystal structure of ZrSiOs2 (GGA-PBEsol).

Cell: 5.1205 5.1205 5.1205 Å, 141.99 132.78 62.16°
Element x y z (fractional)
Zr  0.0000  0.0000  0.0000
Si  0.7384  0.2384  0.5000
Os  0.2561  0.7561  0.5000
Os  0.5143  0.5143  0.0000

Properties
Calculated volume   14.998 Å³/atom
Total moment   0.0 Bohr magnetons per cell
Uncorrected energy   -10.07 eV/atom
Formation energy (no corrections)   -254 meV per atom
Crystal system   orthorhombic

---

# 4
Entry from Alexandria: an optimized crystal structure of Zr3SiOs (GGA-PBEsol).

Cell: 4.7654 4.7654 4.7654 Å, 90.00 90.00 90.00°
Element x y z (fractional)
Zr  0.0000  0.0000  0.5000
Zr  0.0000  0.5000  0.0000
Zr  0.5000  0.0000  0.0000
Si  0.0000  0.0000  0.0000
Os  0.5000  0.5000  0.5000

Properties
Calculated volume   21.643 Å³/atom
Total moment   0.0 Bohr magnetons per cell
Uncorrected energy   -8.36 eV/atom
Formation energy (no corrections)   688 meV per atom
Crystal system   cubic

---

# 5
Entry from Alexandria: an optimized crystal structure of ZrSiOs2 (GGA-PBEsol).

Cell: 5.1625 5.1625 5.1625 Å, 146.74 126.28 64.67°
Element x y z (fractional)
Zr  0.0000  0.0000  0.0000
Si  0.5000  0.5000  0.0000
Os  0.2781  0.7781  0.5000
Os  0.7219  0.2219  0.5000

Properties
Calculated volume   15.033 Å³/atom
Total moment   0.0 Bohr magnetons per cell
Uncorrected energy   -10.08 eV/atom
Formation energy (no corrections)   -266 meV per atom
Crystal system   orthorhombic

---

# 6
Entry from Alexandria: an optimized crystal structure of ZrSiOs (GGA-PBEsol).

Cell: 4.1952 4.1952 4.1952 Å, 60.00 60.00 60.00°
Element x y z (fractional)
Zr  0.0000  0.0000  0.0000
Si  0.7500  0.7500  0.7500
Os  0.5000  0.5000  0.5000

Properties
Calculated volume   17.403 Å³/atom
Total moment   0.0 Bohr magnetons per cell
Uncorrected energy   -9.14 eV/atom
Formation energy (no corrections)   -120 meV per atom
Crystal system   cubic

---

# 7
Entry from Alexandria: an optimized crystal structure of SmOs2 (GGA-PBEsol).

Cell: 5.2798 5.2798 8.9367 Å, 90.00 90.00 120.00°
Element x y z (fractional)
Sm  0.3333  0.6667  0.0646
Sm  0.3333  0.6667  0.4354
Sm  0.6667  0.3333  0.5646
Sm  0.6667  0.3333  0.9354
Os  0.0000  0.0000  0.0000
Os  0.0000  0.0000  0.5000
Os  0.1699  0.3399  0.7500
Os  0.1699  0.8301  0.7500
Os  0.3399  0.1699  0.2500
Os  0.6601  0.8301  0.7500
Os  0.8301  0.1699  0.2500
Os  0.8301  0.6601  0.2500

Properties
Calculated volume   17.979 Å³/atom
Total moment   0.0 Bohr magnetons per cell
Uncorrected energy   -10.01 eV/atom
E_form   -0.173 eV per atom
Crystal system   hexagonal

---

# 8
Entry from Alexandria: an optimized crystal structure of Sm3Os (GGA-PBEsol).

Cell: 7.3573 9.2454 6.3328 Å, 90.00 90.00 90.00°
Element x y z (fractional)
Sm  0.0398  0.2500  0.1346
Sm  0.1763  0.0638  0.6679
Sm  0.1763  0.4362  0.6679
Sm  0.3237  0.5638  0.1679
Sm  0.3237  0.9362  0.1679
Sm  0.4602  0.7500  0.6346
Sm  0.5398  0.2500  0.3654
Sm  0.6763  0.0638  0.8321
Sm  0.6763  0.4362  0.8321
Sm  0.8237  0.5638  0.3321
Sm  0.8237  0.9362  0.3321
Sm  0.9602  0.7500  0.8654
Os  0.1146  0.7500  0.4514
Os  0.3854  0.2500  0.9514
Os  0.6146  0.7500  0.0486
Os  0.8854  0.2500  0.5486

Properties
Calculated volume   26.923 Å³/atom
Total moment   0.0 Bohr magnetons per cell
Uncorrected energy   -7.01 eV/atom
E_form   -0.134 eV per atom
Crystal system   orthorhombic

---

# 9
Entry from Alexandria: an optimized crystal structure of Sr3SnOs (GGA-PBEsol).

Cell: 6.0730 6.0730 6.0730 Å, 90.00 90.00 90.00°
Element x y z (fractional)
Sr  0.0000  0.0000  0.5000
Sr  0.0000  0.5000  0.0000
Sr  0.5000  0.0000  0.0000
Sn  0.0000  0.0000  0.0000
Os  0.5000  0.5000  0.5000

Properties
Calculated volume   44.796 Å³/atom
Total moment   2.2 Bohr magnetons per cell
Uncorrected energy   -3.25 eV/atom
E_form   1.151 eV per atom
Crystal system   cubic

---

# 10
Entry from Alexandria: an optimized crystal structure of SrSn3Os (GGA-PBEsol).

Cell: 5.1698 5.1698 5.1698 Å, 90.00 90.00 90.00°
Element x y z (fractional)
Sr  0.0000  0.0000  0.0000
Sn  0.0000  0.5000  0.5000
Sn  0.5000  0.0000  0.5000
Sn  0.5000  0.5000  0.0000
Os  0.5000  0.5000  0.5000

Properties
Calculated volume   27.634 Å³/atom
Total moment   0.0 Bohr magnetons per cell
Uncorrected energy   -5.26 eV/atom
E_form   0.102 eV per atom
Crystal system   cubic

---

# 11
Entry from Alexandria: an optimized crystal structure of TiSn3Os (GGA-PBEsol).

Cell: 5.0648 5.0648 5.0648 Å, 90.00 90.00 90.00°
Element x y z (fractional)
Ti  0.0000  0.0000  0.0000
Sn  0.0000  0.5000  0.5000
Sn  0.5000  0.0000  0.5000
Sn  0.5000  0.5000  0.0000
Os  0.5000  0.5000  0.5000

Properties
Calculated volume   25.984 Å³/atom
Total moment   2.4 Bohr magnetons per cell
Uncorrected energy   -5.86 eV/atom
E_form   0.802 eV per atom
Crystal system   cubic

---

# 12
Entry from Alexandria: an optimized crystal structure of TlSn3Os (GGA-PBEsol).

Cell: 5.1220 5.1220 5.1220 Å, 90.00 90.00 90.00°
Element x y z (fractional)
Tl  0.0000  0.0000  0.0000
Sn  0.0000  0.5000  0.5000
Sn  0.5000  0.0000  0.5000
Sn  0.5000  0.5000  0.0000
Os  0.5000  0.5000  0.5000

Properties
Calculated volume   26.875 Å³/atom
Total moment   0.0 Bohr magnetons per cell
Uncorrected energy   -5.23 eV/atom
E_form   0.297 eV per atom
Crystal system   cubic

---

# 13
Entry from Alexandria: an optimized crystal structure of Zn3SnOs (GGA-PBEsol).

Cell: 4.7428 4.7428 4.7428 Å, 90.00 90.00 90.00°
Element x y z (fractional)
Zn  0.0000  0.0000  0.5000
Zn  0.0000  0.5000  0.0000
Zn  0.5000  0.0000  0.0000
Sn  0.5000  0.5000  0.5000
Os  0.0000  0.0000  0.0000

Properties
Calculated volume   21.337 Å³/atom
Total moment   0.0 Bohr magnetons per cell
Uncorrected energy   -3.60 eV/atom
E_form   0.648 eV per atom
Crystal system   cubic

---

# 14
Entry from Alexandria: an optimized crystal structure of Zr3SnOs (GGA-PBEsol).

Cell: 4.9800 4.9800 4.9800 Å, 90.00 90.00 90.00°
Element x y z (fractional)
Zr  0.0000  0.0000  0.5000
Zr  0.0000  0.5000  0.0000
Zr  0.5000  0.0000  0.0000
Sn  0.5000  0.5000  0.5000
Os  0.0000  0.0000  0.0000

Properties
Calculated volume   24.702 Å³/atom
Total moment   0.0 Bohr magnetons per cell
Uncorrected energy   -8.60 eV/atom
E_form   0.154 eV per atom
Crystal system   cubic

---

# 15
Entry from Alexandria: an optimized crystal structure of Sr3Os (GGA-PBEsol).

Cell: 4.8817 4.8817 4.8817 Å, 90.00 90.00 90.00°
Element x y z (fractional)
Sr  0.0000  0.0000  0.5000
Sr  0.0000  0.5000  0.0000
Sr  0.5000  0.0000  0.0000
Os  0.5000  0.5000  0.5000

Properties
Calculated volume   29.085 Å³/atom
Total moment   0.0 Bohr magnetons per cell
Uncorrected energy   -3.68 eV/atom
E_form   0.753 eV per atom
Crystal system   cubic

---

# 16
Entry from Alexandria: an optimized crystal structure of Sr5Os (GGA-PBEsol).

Cell: 3.7646 3.7646 16.4312 Å, 90.00 90.00 90.00°
Element x y z (fractional)
Sr  0.0000  0.0000  0.0000
Sr  0.0000  0.0000  0.3990
Sr  0.0000  0.0000  0.6010
Sr  0.5000  0.5000  0.1960
Sr  0.5000  0.5000  0.8040
Os  0.5000  0.5000  0.5000

Properties
Calculated volume   38.811 Å³/atom
Total moment   0.0 Bohr magnetons per cell
Uncorrected energy   -3.16 eV/atom
E_form   0.413 eV per atom
Crystal system   tetragonal

---

# 17
Entry from Alexandria: an optimized crystal structure of SrTa2Os2 (GGA-PBEsol).

Cell: 6.2758 6.2758 6.2758 Å, 139.40 139.40 58.76°
Element x y z (fractional)
Sr  0.0000  0.0000  0.0000
Ta  0.2500  0.7500  0.5000
Ta  0.7500  0.2500  0.5000
Os  0.3795  0.3795  0.0000
Os  0.6205  0.6205  0.0000

Properties
Calculated volume   20.738 Å³/atom
Total moment   0.0 Bohr magnetons per cell
Uncorrected energy   -10.32 eV/atom
E_form   -0.047 eV per atom
Crystal system   tetragonal

---

# 18
Entry from Alexandria: an optimized crystal structure of Sr2TaOs (GGA-PBEsol).

Cell: 3.4758 3.4758 9.5239 Å, 90.00 90.00 90.00°
Element x y z (fractional)
Sr  0.0000  0.0000  0.0000
Sr  0.5000  0.5000  0.3950
Ta  0.0000  0.0000  0.6626
Os  0.5000  0.5000  0.7501

Properties
Calculated volume   28.764 Å³/atom
Excess energy over the best structure of this formula in the dataset   0.000 eV/atom
Total moment   0.0 Bohr magnetons per cell
Uncorrected energy   -6.79 eV/atom
E_form   0.327 eV per atom
Crystal system   tetragonal

---

# 19
Entry from Alexandria: an optimized crystal structure of Sr2TaOs (GGA-PBEsol).

Cell: 2.9177 5.3046 5.6367 Å, 90.00 90.00 90.00°
Element x y z (fractional)
Sr  0.0000  0.0000  0.2433
Sr  0.0000  0.0000  0.7567
Ta  0.5000  0.5000  0.5000
Os  0.5000  0.5000  0.0000

Properties
Calculated volume   21.811 Å³/atom
Excess energy over the best structure of this formula in the dataset   0.762 eV/atom
Total moment   0.0 Bohr magnetons per cell
Uncorrected energy   -6.02 eV/atom
E_form   1.089 eV per atom
Crystal system   orthorhombic

---

# 20
Entry from Alexandria: an optimized crystal structure of SrTa2Os (GGA-PBEsol).

Cell: 3.1450 4.7926 4.9479 Å, 90.00 90.00 90.00°
Element x y z (fractional)
Sr  0.0000  0.0000  0.0000
Ta  0.0000  0.5000  0.5000
Ta  0.5000  0.5000  0.0000
Os  0.5000  0.0000  0.5000

Properties
Calculated volume   18.644 Å³/atom
Excess energy over the best structure of this formula in the dataset   0.398 eV/atom
Total moment   0.0 Bohr magnetons per cell
Uncorrected energy   -8.90 eV/atom
E_form   0.887 eV per atom
Crystal system   orthorhombic

---

# 21
Entry from Alexandria: an optimized crystal structure of SrTa2Os (GGA-PBEsol).

Cell: 3.0032 3.7661 7.7612 Å, 90.00 92.41 90.00°
Element x y z (fractional)
Sr  0.0000  0.0000  0.0000
Ta  0.4588  0.5000  0.6654
Ta  0.5412  0.5000  0.3346
Os  0.0000  0.0000  0.5000

Properties
Calculated volume   21.926 Å³/atom
Excess energy over the best structure of this formula in the dataset   0.000 eV/atom
Total moment   0.0 Bohr magnetons per cell
Uncorrected energy   -9.30 eV/atom
E_form   0.489 eV per atom
Crystal system   monoclinic

---

# 22
Entry from Alexandria: an optimized crystal structure of SrTaOs2 (GGA-PBEsol).

Cell: 3.1123 4.5672 4.8940 Å, 90.00 90.00 90.00°
Element x y z (fractional)
Sr  0.0000  0.0000  0.0000
Ta  0.5000  0.0000  0.5000
Os  0.0000  0.5000  0.5000
Os  0.5000  0.5000  0.0000

Properties
Calculated volume   17.392 Å³/atom
Total moment   0.0 Bohr magnetons per cell
Uncorrected energy   -8.68 eV/atom
E_form   1.030 eV per atom
Crystal system   orthorhombic

---

# 23
Entry from Alexandria: an optimized crystal structure of SrTe2Os (GGA-PBEsol).

Cell: 3.4591 3.4591 7.7913 Å, 90.00 90.00 90.00°
Element x y z (fractional)
Sr  0.0000  0.0000  0.0000
Te  0.5000  0.5000  0.2991
Te  0.5000  0.5000  0.7009
Os  0.0000  0.0000  0.5000

Properties
Calculated volume   23.307 Å³/atom
Excess energy over the best structure of this formula in the dataset   0.286 eV/atom
Total moment   0.0 Bohr magnetons per cell
Uncorrected energy   -5.09 eV/atom
Formation energy (no corrections)   190 meV per atom
Crystal system   tetragonal

---

# 24
Entry from Alexandria: an optimized crystal structure of SrTeOs4 (GGA-PBEsol).

Cell: 5.3404 5.3404 5.3404 Å, 60.00 60.00 60.00°
Element x y z (fractional)
Sr  0.0000  0.0000  0.0000
Te  0.2500  0.2500  0.2500
Os  0.1266  0.6245  0.6245
Os  0.6245  0.1266  0.6245
Os  0.6245  0.6245  0.1266
Os  0.6245  0.6245  0.6245

Properties
Calculated volume   17.950 Å³/atom
Total moment   0.0 Bohr magnetons per cell
Uncorrected energy   -8.30 eV/atom
Formation energy (no corrections)   735 meV per atom
Crystal system   cubic

---

# 25
Entry from Alexandria: an optimized crystal structure of SrTe2Os (GGA-PBEsol).

Cell: 3.8068 6.6707 6.6707 Å, 42.76 90.00 90.00°
Element x y z (fractional)
Sr  0.0000  0.0000  0.0000
Te  0.0000  0.7070  0.7070
Te  0.5000  0.3675  0.3675
Os  0.5000  0.5713  0.5713

Properties
Calculated volume   28.752 Å³/atom
Excess energy over the best structure of this formula in the dataset   0.000 eV/atom
Total moment   0.0 Bohr magnetons per cell
Uncorrected energy   -5.37 eV/atom
Formation energy (no corrections)   -96 meV per atom
Crystal system   orthorhombic

---

# 26
Entry from Alexandria: an optimized crystal structure of Sr2TeOs (GGA-PBEsol).

Cell: 8.4036 8.4036 8.4036 Å, 30.91 30.91 30.91°
Element x y z (fractional)
Sr  0.0000  0.0000  0.0000
Sr  0.1702  0.1702  0.1702
Te  0.7522  0.7522  0.7522
Os  0.4179  0.4179  0.4179

Properties
Calculated volume   34.728 Å³/atom
Total moment   0.0 Bohr magnetons per cell
Uncorrected energy   -4.97 eV/atom
Formation energy (no corrections)   -111 meV per atom
Crystal system   trigonal

---

# 27
Entry from Alexandria: an optimized crystal structure of SrTi2Os (GGA-PBEsol).

Cell: 4.6566 4.6566 4.6566 Å, 60.00 60.00 60.00°
Element x y z (fractional)
Sr  0.0000  0.0000  0.0000
Ti  0.2500  0.2500  0.2500
Ti  0.7500  0.7500  0.7500
Os  0.5000  0.5000  0.5000

Properties
Calculated volume   17.850 Å³/atom
Total moment   0.0 Bohr magnetons per cell
Uncorrected energy   -7.23 eV/atom
E_form   0.446 eV per atom
Crystal system   cubic

---

# 28
Entry from Alexandria: an optimized crystal structure of Sr2TlOs (GGA-PBEsol).

Cell: 10.3607 10.3607 10.3607 Å, 19.58 19.58 19.58°
Element x y z (fractional)
Sr  0.2372  0.2372  0.2372
Sr  0.7628  0.7628  0.7628
Tl  0.0000  0.0000  0.0000
Os  0.5000  0.5000  0.5000

Properties
Calculated volume   27.304 Å³/atom
Excess energy over the best structure of this formula in the dataset   0.099 eV/atom
Total moment   0.0 Bohr magnetons per cell
Uncorrected energy   -4.02 eV/atom
E_form   0.616 eV per atom
Crystal system   trigonal